The following is a DFT calculation (PBE-GGA) of a relaxed structure of KRbH.

* spin magnetization: 0.00 μB/atom
* uncorrected energy: -11.3 eV for the cell shown
* V: 120.56 Å³/f.u.
* energy above the most stable polymorph in this dataset: 0 meV/atom

abc: 4.326 4.328 15.059
angles: 97.95 90.12 119.95
Space group P1 (No. 1)
One atom of each set of equivalent atoms:
K 0.000 0.000 0.000 [1 per cell]
K 0.484 0.002 0.500 [1 per cell]
Rb 0.225 0.480 0.724 [1 per cell]
Rb 0.744 0.525 0.276 [1 per cell]
H 0.116 0.268 0.394 [1 per cell]
H 0.852 0.737 0.606 [1 per cell]

The following is a DFT calculation (PBE-GGA) of a relaxed structure of K2Rb3H4.

* spin magnetization: 0.03 μB/atom
* uncorrected energy: -39.1 eV for the cell shown
* V: 270.52 Å³/f.u.

abc: 14.375 4.179 10.560
angles: 90.00 121.46 90.00
Space group C2/m (No. 12)
One atom of each set of equivalent atoms:
K 0.111 0.000 0.388 [4 per cell]
Rb 0.000 0.500 0.000 [2 per cell]
Rb 0.198 0.500 0.800 [4 per cell]
H 0.098 0.000 0.904 [4 per cell]
H 0.199 0.500 0.309 [4 per cell]

The following is a DFT calculation (PBE-GGA) of a relaxed structure of KRbH.

* spin magnetization: 0.00 μB/atom
* uncorrected energy: -11.1 eV for the cell shown
* V: 126.63 Å³/f.u.
* energy above the most stable polymorph in this dataset: 21 meV/atom

abc: 4.520 5.935 9.537
angles: 90.00 98.17 90.00
Space group Pm (No. 6)
One atom of each set of equivalent atoms:
K 0.000 0.000 0.000 [1 per cell]
K 0.149 0.000 0.545 [1 per cell]
Rb 0.572 0.500 0.293 [1 per cell]
Rb 0.671 0.500 0.731 [1 per cell]
H 0.126 0.500 0.528 [1 per cell]
H 0.707 0.000 0.703 [1 per cell]

The following is a DFT calculation (PBE-GGA) of a relaxed structure of K2RbH2.

* spin magnetization: 0.00 μB/atom
* uncorrected energy: -20.2 eV for the cell shown
* V: 193.42 Å³/f.u.

abc: 5.115 5.115 14.787
angles: 90.00 90.00 90.00
Space group I4/mmm (No. 139)
One atom of each set of equivalent atoms:
K 0.000 0.000 0.198 [4 per cell]
Rb 0.000 0.000 0.500 [2 per cell]
H 0.000 0.500 0.250 [4 per cell]